SmPuIr | PBE | optimized geometry

Cell: 7.289 9.469 8.694 Å, 122.99 114.78 90.00°
Last column: magnetic moment on the atom in μB.
Sites, in units of the cell vectors:
Sm  0.753  0.041  0.582  0.11
Sm  0.171  0.959  0.418  0.11
Sm  0.336  0.750  0.000  0.11
Sm  0.336  0.250  0.000  0.11
Sm  0.170  0.458  0.417  0.11
Sm  0.753  0.542  0.583  0.11
Pu  0.004  0.000  0.000  5.28
Pu  0.004  0.500  0.000  5.28
Pu  0.503  0.375  0.749  5.28
Pu  0.753  0.625  0.251  5.28
Pu  0.753  0.126  0.251  5.28
Pu  0.503  0.874  0.749  5.28
Ir  0.753  0.249  0.998  -0.08
Ir  0.755  0.751  0.002  -0.08
Ir  0.420  0.167  0.333  -0.15
Ir  0.087  0.833  0.667  -0.15
Ir  0.087  0.333  0.667  -0.15
Ir  0.420  0.667  0.333  -0.15

magnetic moment: 5.6 μB per formula unit
space group: No. 46
DOS(E_F): 5.93 states/eV/f.u.
energy of formation: -0.516 eV/atom
total energy: -29.46 eV per formula unit